# PBE LiNbO2F, relaxed
# M_tot = 1.0 μB per formula unit
# Raw formation energy = -2.427 eV per atom
# Uncorrected energy = -143.63 eV for the cell shown
data_LiNbO2F
_cell_length_a 9.315
_cell_length_b 5.244
_cell_length_c 5.620
_cell_angle_alpha 90.00
_cell_angle_beta 121.88
_cell_angle_gamma 90.00
_space_group_name_H-M_alt 'C 1 c 1'
_space_group_IT_number 9
loop_
_space_group_symop_operation_xyz
'x,y,z'
'x,-y,z+1/2'
'x+1/2,y+1/2,z'
'x+1/2,-y+1/2,z+1/2'
loop_
_atom_site_label
_atom_site_fract_x
_atom_site_fract_y
_atom_site_fract_z
_atom_site_occupancy
Li1 0.000 0.198 0.000 1
Nb1 0.284 0.247 0.844 1
O1 0.232 0.053 0.099 1
O2 0.365 0.464 0.639 1
F1 0.038 0.423 0.602 1